[1]
## KSrIr (PBE)

Data for a relaxed structure of KSrIr.

CIF file:
```
data_KSrIr
_chemical_formula_sum 'K2 Sr2 Ir2'
_symmetry_space_group_name_H-M 'I 4 m m'
_symmetry_Int_Tables_number 107
_symmetry_space_group_name_Hall 'I 4 -2'
_cell_length_a 3.652
_cell_length_b 3.652
_cell_length_c 15.971
_cell_angle_alpha 90.00
_cell_angle_beta 90.00
_cell_angle_gamma 90.00
loop_
_atom_site_label
_atom_site_type_symbol
_atom_site_fract_x
_atom_site_fract_y
_atom_site_fract_z
_atom_site_occupancy
K1 K 0.000 0.000 0.000 1
Sr1 Sr 0.000 0.000 0.229 1
Ir1 Ir 0.000 0.000 0.633 1
```

The total moment is 0.00 μB per cell.

---

[2]
## HfMoRh2C (PBE)

Data for a relaxed structure of HfMoRh2C.

CIF file:
```
data_HfMoRh2C
_chemical_formula_sum 'Hf1 Mo1 Rh2 C1'
_symmetry_space_group_name_H-M 'P 4/m m m'
_symmetry_Int_Tables_number 123
_symmetry_space_group_name_Hall '-P 4 2'
_cell_length_a 4.100
_cell_length_b 4.100
_cell_length_c 4.242
_cell_angle_alpha 90.00
_cell_angle_beta 90.00
_cell_angle_gamma 90.00
loop_
_atom_site_label
_atom_site_type_symbol
_atom_site_fract_x
_atom_site_fract_y
_atom_site_fract_z
_atom_site_occupancy
Hf1 Hf 0.000 0.000 0.000 1
Mo1 Mo 0.500 0.500 0.000 1
Rh1 Rh 0.000 0.500 0.500 1
C1 C 0.500 0.500 0.500 1
```

The total moment is 0.00 μB per cell.

---

[3]
## Ho3Ag4Hg4 (PBE)

Data for a relaxed structure of Ho3Ag4Hg4.

CIF file:
```
data_Ho3Ag4Hg4
_chemical_formula_sum 'Ho6 Ag8 Hg8'
_symmetry_space_group_name_H-M 'C 1 2/m 1'
_symmetry_Int_Tables_number 12
_cell_length_a 30.466
_cell_length_b 4.870
_cell_length_c 3.350
_cell_angle_alpha 90.00
_cell_angle_beta 96.25
_cell_angle_gamma 90.00
loop_
_symmetry_equiv_pos_as_xyz
'x,y,z'
'-x,-y,-z'
'-x,y,-z'
'x,-y,z'
'x+1/2,y+1/2,z'
'-x+1/2,-y+1/2,-z'
'-x+1/2,y+1/2,-z'
'x+1/2,-y+1/2,z'
loop_
_atom_site_label
_atom_site_type_symbol
_atom_site_fract_x
_atom_site_fract_y
_atom_site_fract_z
_atom_site_occupancy
Ho1 Ho 0.000 0.000 0.000 1
Ho2 Ho 0.139 0.500 0.139 1
Ag1 Ag 0.092 0.000 0.593 1
Ag2 Ag 0.234 0.500 0.734 1
Hg1 Hg 0.048 0.500 0.548 1
Hg2 Hg 0.185 0.000 0.684 1
```

The total moment is 0.00 μB per cell.

---

[4]
## CsRb2NaAg (PBE)

Data for a relaxed structure of CsRb2NaAg.

CIF file:
```
data_CsRb2NaAg
_chemical_formula_sum 'Cs1 Rb2 Na1 Ag1'
_symmetry_space_group_name_H-M 'P 4/m m m'
_symmetry_Int_Tables_number 123
_symmetry_space_group_name_Hall '-P 4 2'
_cell_length_a 7.150
_cell_length_b 7.150
_cell_length_c 6.208
_cell_angle_alpha 90.00
_cell_angle_beta 90.00
_cell_angle_gamma 90.00
loop_
_atom_site_label
_atom_site_type_symbol
_atom_site_fract_x
_atom_site_fract_y
_atom_site_fract_z
_atom_site_occupancy
Cs1 Cs 0.000 0.000 0.000 1
Rb1 Rb 0.000 0.500 0.500 1
Na1 Na 0.500 0.500 0.000 1
Ag1 Ag 0.500 0.500 0.500 1
```

The total moment is 0.00 μB per cell. The energy relative to the lowest polymorph listed for this composition comes out at 0 meV/atom.

---

Number 1: DFT total energy -3.50 eV/atom, energy relative to the elements 1.1 eV per formula unit. Number 2: DFT total energy -9.23 eV/atom, energy relative to the elements -1.5 eV per formula unit. Number 3: DFT total energy -2.66 eV/atom, energy relative to the elements -2.9 eV per formula unit. Number 4: DFT total energy -1.33 eV/atom, energy relative to the elements 0.3 eV per formula unit.